Below is a relaxed MgCu2Ni2 crystal, with properties calculated at the PBE-GGA level.

```
MgCu2Ni2
1.0
6.8828 0.0000 0.0000
0.0000 6.8828 0.0000
0.0000 0.0000 2.7415
Mg Cu Ni
2 4 4
direct
0.0000 0.0000 0.0000
0.5000 0.5000 0.0000
0.1291 0.3709 0.0000
0.3709 0.8709 0.0000
0.6291 0.1291 0.0000
0.8709 0.6291 0.0000
0.1665 0.6665 0.5000
0.3335 0.1665 0.5000
0.6665 0.8335 0.5000
0.8335 0.3335 0.5000
```

**Excess energy over the best structure of this formula in the dataset**: 8 meV/atom
**SG**: P4/mbm, No. 127


Below is a relaxed MgCu2Ni crystal, with properties calculated at the PBE-GGA level.

```
MgCu2Ni
1.0
0.0000 2.6540 3.7050
2.6329 0.0000 3.7050
2.6329 2.6540 0.0000
Mg Cu Ni
1 2 1
direct
0.0000 0.0000 0.0000
0.2500 0.2500 0.2500
0.7500 0.7500 0.7500
0.5000 0.5000 0.5000
```

**Uncorrected energy**: -3.957 eV per atom
**SG**: Fmmm, No. 69


Below is a relaxed MgCuNi2 crystal, with properties calculated at the PBE-GGA level.

```
MgCuNi2
1.0
-1.7835 1.7835 8.6677
1.7835 -1.7835 8.6677
1.7835 1.7835 -8.6677
Mg Cu Ni
2 2 4
direct
0.0000 0.0000 0.0000
0.7500 0.2500 0.5000
0.2500 0.7500 0.5000
0.5000 0.5000 0.0000
0.1512 0.6250 0.0262
0.3750 0.4012 0.5262
0.5988 0.1250 0.9738
0.8750 0.8488 0.4738
```

**Uncorrected energy**: -4.043 eV per atom
**SG**: I-42d, No. 122


Below is a relaxed Mg2CuNi crystal, with properties calculated at the PBE-GGA level.

```
Mg2CuNi
1.0
1.4312 0.8263 8.5817
-1.4312 0.8263 8.5817
0.0000 -1.6526 8.5817
Mg Cu Ni
2 1 1
direct
0.2466 0.2466 0.2466
0.7534 0.7534 0.7534
0.0000 0.0000 0.0000
0.5000 0.5000 0.5000
```

**Uncorrected energy**: -3.222 eV per atom
**SG**: R-3m, No. 166


Below is a relaxed MgCuNi crystal, with properties calculated at the PBE-GGA level.

```
MgCuNi
1.0
-1.4521 1.4521 4.8248
1.4521 -1.4521 4.8248
1.4521 1.4521 -4.8248
Mg Cu Ni
1 1 1
direct
0.0000 0.0000 0.0000
0.3147 0.3147 0.0000
0.6727 0.6727 0.0000
```

**Excess energy over the best structure of this formula in the dataset**: 120 meV/atom
**SG**: I4mm, No. 107


Below is a relaxed Mg2CuNi crystal, with properties calculated at the PBE-GGA level.

```
Mg2CuNi
1.0
0.0000 3.0944 3.0944
3.0944 0.0000 3.0944
3.0944 3.0944 0.0000
Mg Cu Ni
2 1 1
direct
0.0000 0.0000 0.0000
0.2500 0.2500 0.2500
0.7500 0.7500 0.7500
0.5000 0.5000 0.5000
```

**Uncorrected energy**: -3.284 eV per atom
**SG**: F-43m, No. 216


Below is a relaxed MgCu2Ni crystal, with properties calculated at the PBE-GGA level.

```
MgCu2Ni
1.0
0.0000 2.9576 2.9576
2.9576 0.0000 2.9576
2.9576 2.9576 0.0000
Mg Cu Ni
1 2 1
direct
0.0000 0.0000 0.0000
0.2500 0.2500 0.2500
0.5000 0.5000 0.5000
0.7500 0.7500 0.7500
```

**Uncorrected energy**: -3.938 eV per atom
**SG**: F-43m, No. 216


Below is a relaxed MgCuNi2 crystal, with properties calculated at the PBE-GGA level.

```
MgCuNi2
1.0
2.6453 0.0000 0.0000
0.0000 3.6018 0.0000
-0.0202 0.0000 5.2940
Mg Cu Ni
1 1 2
direct
0.0000 0.0000 0.0000
0.5005 0.5000 0.7241
0.0004 0.0000 0.4925
0.4999 0.5000 0.2629
```

**Uncorrected energy**: -4.342 eV per atom
**SG**: Pm, No. 6


Summary of DOS at the Fermi energy in states/eV per cell
5.66; 1.91; 7.90; 2.59; 0.69; 2.24; 2.32; 3.33
(order as listed above)
Summary of total moment in μB per formula unit
0.00; 0.00; 0.00; 0.00; 0.00; 0.00; 0.00; 0.00
(order as listed above)